This record from the Open Quantum Materials Database describes a relaxed structure of RbSmNO. The functional is PBE.

SG = Pmc2_1
polymorph energy (0 for the lowest one) = 16.5 meV per atom
crystal system = orthorhombic

Lattice parameters (Å, degrees): 3.792 6.716 7.638 90.00 90.00 90.00
Fractional positions:
Sm1 0.000 0.493 0.337
Sm2 0.000 0.993 0.663
Rb1 0.500 0.003 0.165
Rb2 0.500 0.503 0.835
N1 0.000 0.828 0.401
N2 0.000 0.328 0.599
O1 0.500 0.430 0.195
O2 0.500 0.930 0.805

***

This record from the Open Quantum Materials Database describes a relaxed structure of PuCl2. The functional is PBE.

SG = P4_2/mnm
crystal system = tetragonal

Lattice parameters (Å, degrees): 6.731 6.731 4.044 90.00 90.00 90.00
Fractional positions:
Cl1 0.205 0.795 0.500
Cl2 0.295 0.295 0.000
Cl3 0.705 0.705 0.000
Cl4 0.795 0.205 0.500
Pu1 0.500 0.500 0.500
Pu2 0.000 0.000 0.000

***

This record from the Open Quantum Materials Database describes a relaxed structure of PdC2S2O8F2. The functional is PBE.

SG = P2_1/c
crystal system = monoclinic

Lattice parameters (Å, degrees): 7.050 14.245 7.975 90.00 90.22 90.00
Fractional positions:
Pd1 0.973 0.356 0.706
Pd2 0.473 0.144 0.206
Pd3 0.527 0.856 0.794
Pd4 0.027 0.644 0.294
O1 0.140 0.432 0.401
O2 0.696 0.322 0.667
O3 0.871 0.071 0.278
O4 0.360 0.038 0.344
O5 0.140 0.538 0.156
O6 0.433 0.280 0.489
O7 0.804 0.822 0.833
O8 0.250 0.880 0.380
O9 0.395 0.684 0.988
O10 0.750 0.620 0.880
O11 0.250 0.380 0.120
O12 0.860 0.568 0.599
O13 0.567 0.720 0.511
O14 0.258 0.220 0.873
O15 0.196 0.178 0.167
O16 0.860 0.462 0.844
O17 0.742 0.780 0.127
O18 0.360 0.932 0.099
O19 0.758 0.280 0.373
O20 0.640 0.068 0.901
O21 0.129 0.929 0.722
O22 0.242 0.720 0.627
O23 0.067 0.780 0.011
O24 0.895 0.816 0.488
O25 0.933 0.220 0.989
O26 0.750 0.120 0.620
O27 0.629 0.571 0.222
O28 0.640 0.962 0.656
O29 0.304 0.678 0.333
O30 0.105 0.184 0.512
O31 0.371 0.429 0.778
O32 0.605 0.316 0.012
S1 0.622 0.316 0.491
S2 0.378 0.684 0.509
S3 0.867 0.561 0.778
S4 0.122 0.184 0.991
S5 0.133 0.439 0.222
S6 0.633 0.061 0.722
S7 0.878 0.816 0.009
S8 0.367 0.939 0.278
C1 0.725 0.102 0.252
C2 0.939 0.751 0.417
C3 0.775 0.602 0.248
C4 0.225 0.398 0.752
C5 0.561 0.251 0.083
C6 0.275 0.898 0.748
C7 0.439 0.749 0.917
C8 0.061 0.249 0.583
F1 0.101 0.076 0.941
F2 0.420 0.089 0.674
F3 0.899 0.924 0.059
F4 0.601 0.424 0.441
F5 0.580 0.911 0.326
F6 0.399 0.576 0.559
F7 0.080 0.589 0.826
F8 0.920 0.411 0.174

***

This record from the Open Quantum Materials Database describes a relaxed structure of Ba2ZnBi2. The functional is PBE.

SG = Cmc2_1
crystal system = orthorhombic

Lattice parameters (Å, degrees): 9.589 9.589 8.588 90.00 90.00 150.10
Fractional positions:
Bi1 0.838 0.162 0.996
Bi2 0.566 0.434 0.069
Bi3 0.162 0.838 0.496
Bi4 0.434 0.566 0.569
Zn1 0.413 0.587 0.920
Zn2 0.587 0.413 0.420
Ba1 0.972 0.028 0.279
Ba2 0.028 0.972 0.779
Ba3 0.790 0.210 0.601
Ba4 0.210 0.790 0.101

***

This record from the Open Quantum Materials Database describes a relaxed structure of Al2MoPd5. The functional is PBE.

SG = I4/mmm
crystal system = tetragonal

Lattice parameters (Å, degrees): 7.716 7.716 7.716 149.35 149.35 43.90
Fractional positions:
Mo1 0.000 0.000 0.000
Pd1 0.863 0.363 0.500
Pd2 0.363 0.863 0.500
Pd3 0.137 0.637 0.500
Pd4 0.500 0.500 0.000
Pd5 0.637 0.137 0.500
Al1 0.252 0.252 0.000
Al2 0.748 0.748 0.000

***

This record from the Open Quantum Materials Database describes a relaxed structure of Sc2CuSe3. The functional is PBE.

SG = Pnma
crystal system = orthorhombic

Lattice parameters (Å, degrees): 10.025 3.723 12.798 90.00 90.00 90.00
Fractional positions:
Se1 0.237 0.250 0.644
Se2 0.912 0.750 0.602
Se3 0.449 0.250 0.394
Se4 0.763 0.750 0.356
Se5 0.588 0.250 0.102
Se6 0.949 0.250 0.106
Se7 0.551 0.750 0.606
Se8 0.051 0.750 0.894
Se9 0.412 0.750 0.898
Se10 0.263 0.750 0.144
Se11 0.088 0.250 0.398
Se12 0.737 0.250 0.856
Sc1 0.017 0.750 0.253
Sc2 0.517 0.750 0.247
Sc3 0.271 0.750 0.473
Sc4 0.483 0.250 0.753
Sc5 0.729 0.250 0.527
Sc6 0.771 0.750 0.027
Sc7 0.983 0.250 0.747
Sc8 0.229 0.250 0.973
Cu1 0.235 0.750 0.770
Cu2 0.765 0.250 0.230
Cu3 0.265 0.250 0.270
Cu4 0.735 0.750 0.730

***

| no. | final energy (eV/cell) |
| --- | --- |
| 1 | -47.154 |
| 2 | -46.394 |
| 3 | -364.345 |
| 4 | -33.559 |
| 5 | -47.735 |
| 6 | -136.542 |